# 1
The following is a GGA-PBE calculation of a relaxed Ac3HfAl2Ge6 crystal, from Alexandria via LeMat-Bulk.

Output
- E (eV per atom) = -5.270

a = 6.444 Å, b = 6.444 Å, c = 8.478 Å
α = 90.00°, β = 90.00°, γ = 120.00°
Sites, in units of the cell vectors:
Ac: 0.333 0.667 0.641
Ac: 0.667 0.333 0.359
Ac: 0.000 0.000 0.000
Hf: 0.000 0.000 0.500
Al: 0.667 0.333 0.955
Al: 0.333 0.667 0.045
Ge: 0.614 0.807 0.294
Ge: 0.193 0.386 0.294
Ge: 0.193 0.807 0.294
Ge: 0.807 0.614 0.706
Ge: 0.386 0.193 0.706
Ge: 0.807 0.193 0.706

# 2
The following is a GGA-PBE calculation of a relaxed CsNi2Ge crystal, from Alexandria via LeMat-Bulk.

Output
- E (eV per atom) = -3.769

a = 7.572 Å, b = 7.572 Å, c = 6.581 Å
α = 54.88°, β = 54.88°, γ = 90.00°
Sites, in units of the cell vectors:
Cs: 0.000 0.000 0.000
Cs: 0.750 0.250 0.500
Ni: 0.480 0.125 0.250
Ni: 0.270 0.625 0.250
Ni: 0.375 0.520 0.750
Ni: 0.875 0.730 0.750
Ge: 0.500 0.500 0.000
Ge: 0.250 0.750 0.500

# 3
The following is a GGA-PBE calculation of a relaxed Tb2Zn5Si crystal, from Alexandria via LeMat-Bulk.

Output
- uncorrected formation energy (eV per atom) = -0.4413

a = 4.287 Å, b = 8.186 Å, c = 8.771 Å
α = 90.00°, β = 90.00°, γ = 105.18°
Sites, in units of the cell vectors:
Tb: 0.800 0.601 0.750
Tb: 0.200 0.399 0.250
Tb: 0.000 0.000 0.000
Tb: 0.000 0.000 0.500
Zn: 0.188 0.375 0.894
Zn: 0.812 0.625 0.106
Zn: 0.188 0.375 0.606
Zn: 0.812 0.625 0.394
Zn: 0.352 0.704 0.975
Zn: 0.648 0.296 0.025
Zn: 0.352 0.704 0.525
Zn: 0.648 0.296 0.475
Zn: 0.599 0.197 0.750
Zn: 0.401 0.803 0.250
Si: 0.446 0.891 0.750
Si: 0.554 0.109 0.250

# 4
The following is a GGA-PBE calculation of a relaxed BaY2GeS crystal, from Alexandria via LeMat-Bulk.

Output
- uncorrected formation energy (eV per atom) = 1.0007

a = 5.973 Å, b = 5.423 Å, c = 5.973 Å
α = 90.00°, β = 90.00°, γ = 90.00°
Sites, in units of the cell vectors:
Y: 0.000 0.000 0.500
Y: 0.500 0.000 0.000
Ge: 0.500 0.500 0.500
S: 0.000 0.500 0.000
Ba: 0.000 0.000 0.000

# 5
The following is a GGA-PBE calculation of a relaxed CeZn9Pd3 crystal, from Alexandria via LeMat-Bulk.

Output
- E (eV per atom) = -2.889

a = 5.310 Å, b = 6.856 Å, c = 6.917 Å
α = 81.22°, β = 67.43°, γ = 66.58°
Each line ends with the local moment (μB).
Sites, in units of the cell vectors:
Ce: 0.000 0.000 0.000  0.80
Zn: 0.723 0.783 0.781  0.00
Zn: 0.277 0.217 0.219  0.00
Zn: 0.496 0.217 0.781  0.00
Zn: 0.504 0.783 0.219  0.00
Zn: 0.640 0.347 0.354  0.00
Zn: 0.360 0.653 0.646  0.00
Zn: 0.006 0.653 0.354  0.00
Zn: 0.994 0.347 0.646  0.00
Zn: 0.000 0.500 0.000  0.00
Pd: 0.500 0.500 0.000  0.00
Pd: 0.000 0.000 0.500  0.01
Pd: 0.500 0.000 0.500  0.01

# 6
The following is a GGA-PBE calculation of a relaxed TlReBi2O8 crystal, from Alexandria via LeMat-Bulk.

Output
- uncorrected formation energy (eV per atom) = -1.1884

a = 5.018 Å, b = 5.017 Å, c = 7.268 Å
α = 89.57°, β = 89.58°, γ = 92.68°
Sites, in units of the cell vectors:
Tl: 0.000 0.000 0.500
Re: 0.000 0.000 0.000
Bi: 0.493 0.493 0.759
Bi: 0.507 0.507 0.241
O: 0.165 0.807 0.190
O: 0.722 0.723 0.985
O: 0.808 0.165 0.190
O: 0.835 0.193 0.810
O: 0.278 0.277 0.015
O: 0.192 0.835 0.810
O: 0.705 0.706 0.512
O: 0.295 0.294 0.488

# 7
The following is a GGA-PBE calculation of a relaxed LiHPd2Pt crystal, from Alexandria via LeMat-Bulk.

Output
- E (eV per atom) = -4.611

a = 3.928 Å, b = 3.928 Å, c = 3.933 Å
α = 90.00°, β = 90.00°, γ = 90.00°
Sites, in units of the cell vectors:
H: 0.000 0.000 0.000
Pd: 0.000 0.500 0.000
Pd: 0.500 0.000 0.000
Pt: 0.500 0.500 0.500
Li: 0.000 0.000 0.500

# 8
The following is a GGA-PBE calculation of a relaxed Tb5Dy4Er crystal, from Alexandria via LeMat-Bulk.

Output
- E (eV per atom) = -4.348

a = 5.877 Å, b = 8.004 Å, c = 8.004 Å
α = 82.25°, β = 68.46°, γ = 68.46°
Sites, in units of the cell vectors:
Tb: 0.763 0.378 0.000
Tb: 0.141 0.000 0.622
Tb: 0.763 0.000 0.378
Tb: 0.141 0.622 0.000
Tb: 0.687 0.000 0.000
Dy: 0.449 0.324 0.676
Dy: 0.773 0.676 0.676
Dy: 0.125 0.324 0.324
Dy: 0.449 0.676 0.324
Er: 0.216 0.000 0.000